No. 1
# DyCo (PBE, optimized geometry)
data_DyCo
_chemical_formula_sum 'Dy1 Co1'
_space_group_name_H-M_alt 'P 1'
_space_group_IT_number 1
_cell_length_a 4.238
_cell_length_b 4.238
_cell_length_c 4.238
_cell_angle_alpha 48.55
_cell_angle_beta 48.55
_cell_angle_gamma 48.55
loop_
_space_group_symop_operation_xyz
'x,y,z'
loop_
_atom_site_label
_atom_site_type_symbol
_atom_site_fract_x
_atom_site_fract_y
_atom_site_fract_z
_atom_site_occupancy
Dy1 Dy 0.500 0.500 0.500 1
Co1 Co 0.000 0.000 0.000 1
# Magnetization = 0.2495 μB per atom
# Final energy = -5.6544 eV per atom

---

No. 2
# CuAg3S2 (PBE, optimized geometry)
data_CuAg3S2
_chemical_formula_sum 'Cu4 Ag12 S8'
_space_group_name_H-M_alt 'P 1'
_space_group_IT_number 1
_cell_length_a 8.519
_cell_length_b 8.519
_cell_length_c 8.519
_cell_angle_alpha 95.70
_cell_angle_beta 116.77
_cell_angle_gamma 116.77
loop_
_space_group_symop_operation_xyz
'x,y,z'
loop_
_atom_site_label
_atom_site_type_symbol
_atom_site_fract_x
_atom_site_fract_y
_atom_site_fract_z
_atom_site_occupancy
Ag1 Ag 0.347 0.452 0.077 1
Ag2 Ag 0.153 0.730 0.605 1
Ag3 Ag 0.375 0.105 0.952 1
Ag4 Ag 0.847 0.270 0.395 1
Ag5 Ag 0.653 0.548 0.923 1
Ag6 Ag 0.500 0.500 0.500 1
Ag7 Ag 0.875 0.423 0.770 1
Ag8 Ag 0.125 0.577 0.230 1
Ag9 Ag 0.625 0.895 0.048 1
Ag10 Ag 0.500 0.000 0.500 1
Ag11 Ag 0.000 0.000 0.500 1
Ag12 Ag 0.000 0.000 0.000 1
S1 S 0.488 0.199 0.724 1
S2 S 0.475 0.711 0.699 1
S3 S 0.988 0.764 0.789 1
S4 S 0.512 0.801 0.276 1
S5 S 0.525 0.289 0.301 1
S6 S 0.012 0.236 0.211 1
S7 S 0.975 0.776 0.264 1
S8 S 0.025 0.224 0.736 1
Cu1 Cu 0.250 0.471 0.721 1
Cu2 Cu 0.750 0.221 0.971 1
Cu3 Cu 0.250 0.779 0.029 1
Cu4 Cu 0.750 0.529 0.279 1
# Final energy = -3.4776 eV per atom

---

No. 3
# Ta5Re8 (PBE, optimized geometry)
data_Ta5Re8
_chemical_formula_sum 'Ta5 Re8'
_space_group_name_H-M_alt 'P 1'
_space_group_IT_number 1
_cell_length_a 9.849
_cell_length_b 9.849
_cell_length_c 9.849
_cell_angle_alpha 30.35
_cell_angle_beta 30.35
_cell_angle_gamma 30.35
loop_
_space_group_symop_operation_xyz
'x,y,z'
loop_
_atom_site_label
_atom_site_type_symbol
_atom_site_fract_x
_atom_site_fract_y
_atom_site_fract_z
_atom_site_occupancy
Ta1 Ta 0.000 0.000 0.000 1
Ta2 Ta 0.549 0.549 0.549 1
Ta3 Ta 0.832 0.832 0.832 1
Ta4 Ta 0.451 0.451 0.451 1
Ta5 Ta 0.168 0.168 0.168 1
Re1 Re 0.587 0.091 0.091 1
Re2 Re 0.091 0.091 0.587 1
Re3 Re 0.909 0.413 0.909 1
Re4 Re 0.091 0.587 0.091 1
Re5 Re 0.656 0.656 0.656 1
Re6 Re 0.344 0.344 0.344 1
Re7 Re 0.413 0.909 0.909 1
Re8 Re 0.909 0.909 0.413 1
# Magnetization = 0.0007 μB per atom
# Final energy = -12.1779 eV per atom

---

No. 4
# Ho4PdPt3 (PBE, optimized geometry)
data_Ho4PdPt3
_chemical_formula_sum 'Ho4 Pd1 Pt3'
_space_group_name_H-M_alt 'P 1'
_space_group_IT_number 1
_cell_length_a 5.557
_cell_length_b 4.523
_cell_length_c 6.978
_cell_angle_alpha 90.00
_cell_angle_beta 90.06
_cell_angle_gamma 90.00
loop_
_space_group_symop_operation_xyz
'x,y,z'
loop_
_atom_site_label
_atom_site_type_symbol
_atom_site_fract_x
_atom_site_fract_y
_atom_site_fract_z
_atom_site_occupancy
Ho1 Ho 0.356 0.500 0.182 1
Ho2 Ho 0.143 0.500 0.683 1
Ho3 Ho 0.860 0.000 0.315 1
Ho4 Ho 0.640 0.000 0.822 1
Pt1 Pt 0.841 0.500 0.043 1
Pt2 Pt 0.348 0.000 0.458 1
Pt3 Pt 0.156 0.000 0.954 1
Pd1 Pd 0.656 0.500 0.543 1
# Magnetization = 0.0019 μB per atom
# Final energy = -6.4267 eV per atom

---

No. 5
# PtPbSO (PBE, optimized geometry)
data_PtPbSO
_chemical_formula_sum 'Pt4 Pb4 S4 O4'
_space_group_name_H-M_alt 'P 1'
_space_group_IT_number 1
_cell_length_a 6.960
_cell_length_b 8.301
_cell_length_c 5.930
_cell_angle_alpha 90.00
_cell_angle_beta 90.00
_cell_angle_gamma 90.00
loop_
_space_group_symop_operation_xyz
'x,y,z'
loop_
_atom_site_label
_atom_site_type_symbol
_atom_site_fract_x
_atom_site_fract_y
_atom_site_fract_z
_atom_site_occupancy
Pb1 Pb 0.403 0.741 0.902 1
Pb2 Pb 0.903 0.259 0.902 1
Pb3 Pb 0.597 0.259 0.402 1
Pb4 Pb 0.097 0.741 0.402 1
O1 O 0.660 0.997 0.366 1
O2 O 0.340 0.003 0.866 1
O3 O 0.160 0.003 0.366 1
O4 O 0.840 0.997 0.866 1
S1 S 0.611 0.656 0.361 1
S2 S 0.889 0.656 0.861 1
S3 S 0.389 0.344 0.861 1
S4 S 0.111 0.344 0.361 1
Pt1 Pt 0.767 0.837 0.121 1
Pt2 Pt 0.733 0.837 0.621 1
Pt3 Pt 0.267 0.163 0.121 1
Pt4 Pt 0.233 0.163 0.621 1
# Magnetization = 0.0002 μB per atom
# Final energy = -5.0969 eV per atom

---

No. 6
# NdHf2Pb2 (PBE, optimized geometry)
data_NdHf2Pb2
_chemical_formula_sum 'Nd1 Hf2 Pb2'
_space_group_name_H-M_alt 'P 1'
_space_group_IT_number 1
_cell_length_a 4.463
_cell_length_b 4.463
_cell_length_c 7.401
_cell_angle_alpha 107.55
_cell_angle_beta 107.55
_cell_angle_gamma 90.00
loop_
_space_group_symop_operation_xyz
'x,y,z'
loop_
_atom_site_label
_atom_site_type_symbol
_atom_site_fract_x
_atom_site_fract_y
_atom_site_fract_z
_atom_site_occupancy
Hf1 Hf 0.250 0.750 0.500 1
Hf2 Hf 0.750 0.250 0.500 1
Nd1 Nd 0.000 0.000 0.000 1
Pb1 Pb 0.607 0.607 0.214 1
Pb2 Pb 0.393 0.393 0.786 1
# Magnetization = 0.0028 μB per atom
# Final energy = -6.5013 eV per atom

---

No. 7
# Pm3Al5S12 (PBE, optimized geometry)
data_Pm3Al5S12
_chemical_formula_sum 'Pm12 Al20 S48'
_space_group_name_H-M_alt 'P 1'
_space_group_IT_number 1
_cell_length_a 13.035
_cell_length_b 13.035
_cell_length_c 13.035
_cell_angle_alpha 109.47
_cell_angle_beta 109.47
_cell_angle_gamma 109.47
loop_
_space_group_symop_operation_xyz
'x,y,z'
loop_
_atom_site_label
_atom_site_type_symbol
_atom_site_fract_x
_atom_site_fract_y
_atom_site_fract_z
_atom_site_occupancy
S1 S 0.619 0.415 0.092 1
S2 S 0.296 0.322 0.915 1
S3 S 0.619 0.704 0.526 1
S4 S 0.585 0.178 0.204 1
S5 S 0.474 0.592 0.178 1
S6 S 0.026 0.322 0.908 1
S7 S 0.526 0.619 0.704 1
S8 S 0.881 0.974 0.796 1
S9 S 0.119 0.592 0.915 1
S10 S 0.178 0.474 0.592 1
S11 S 0.296 0.474 0.381 1
S12 S 0.796 0.415 0.822 1
S13 S 0.592 0.915 0.119 1
S14 S 0.092 0.619 0.415 1
S15 S 0.974 0.678 0.092 1
S16 S 0.085 0.704 0.678 1
S17 S 0.322 0.908 0.026 1
S18 S 0.822 0.796 0.415 1
S19 S 0.704 0.678 0.085 1
S20 S 0.408 0.085 0.881 1
S21 S 0.822 0.526 0.408 1
S22 S 0.915 0.119 0.592 1
S23 S 0.796 0.881 0.974 1
S24 S 0.415 0.822 0.796 1
S25 S 0.085 0.881 0.408 1
S26 S 0.526 0.408 0.822 1
S27 S 0.585 0.908 0.381 1
S28 S 0.408 0.822 0.526 1
S29 S 0.678 0.092 0.974 1
S30 S 0.204 0.585 0.178 1
S31 S 0.881 0.408 0.085 1
S32 S 0.704 0.526 0.619 1
S33 S 0.322 0.915 0.296 1
S34 S 0.381 0.585 0.908 1
S35 S 0.178 0.204 0.585 1
S36 S 0.026 0.204 0.119 1
S37 S 0.915 0.296 0.322 1
S38 S 0.381 0.296 0.474 1
S39 S 0.592 0.178 0.474 1
S40 S 0.908 0.026 0.322 1
S41 S 0.092 0.974 0.678 1
S42 S 0.204 0.119 0.026 1
S43 S 0.474 0.381 0.296 1
S44 S 0.974 0.796 0.881 1
S45 S 0.119 0.026 0.204 1
S46 S 0.678 0.085 0.704 1
S47 S 0.415 0.092 0.619 1
S48 S 0.908 0.381 0.585 1
Pm1 Pm 0.875 0.625 0.250 1
Pm2 Pm 0.750 0.125 0.375 1
Pm3 Pm 0.375 0.125 0.250 1
Pm4 Pm 0.875 0.750 0.625 1
Pm5 Pm 0.250 0.875 0.625 1
Pm6 Pm 0.750 0.625 0.875 1
Pm7 Pm 0.125 0.250 0.375 1
Pm8 Pm 0.125 0.375 0.750 1
Pm9 Pm 0.250 0.375 0.125 1
Pm10 Pm 0.625 0.875 0.750 1
Pm11 Pm 0.625 0.250 0.875 1
Pm12 Pm 0.375 0.750 0.125 1
Al1 Al 0.250 0.625 0.375 1
Al2 Al 0.750 0.375 0.625 1
Al3 Al 0.375 0.625 0.750 1
Al4 Al 0.625 0.750 0.375 1
Al5 Al 0.875 0.125 0.750 1
Al6 Al 0.375 0.250 0.625 1
Al7 Al 0.500 0.500 0.500 1
Al8 Al 0.125 0.750 0.875 1
Al9 Al 0.125 0.875 0.250 1
Al10 Al 0.875 0.250 0.125 1
Al11 Al 0.500 0.000 0.500 1
Al12 Al 0.000 0.000 0.500 1
Al13 Al 0.000 0.500 0.500 1
Al14 Al 0.000 0.500 0.000 1
Al15 Al 0.750 0.875 0.125 1
Al16 Al 0.500 0.500 0.000 1
Al17 Al 0.250 0.125 0.875 1
Al18 Al 0.625 0.375 0.250 1
Al19 Al 0.500 0.000 0.000 1
Al20 Al 0.000 0.000 0.000 1
# Magnetization = 0.0000 μB per atom
# Final energy = -5.5891 eV per atom

---

No. 8
# GdTlW (PBE, optimized geometry)
data_GdTlW
_chemical_formula_sum 'Gd1 Tl1 W1'
_space_group_name_H-M_alt 'P 1'
_space_group_IT_number 1
_cell_length_a 4.815
_cell_length_b 4.815
_cell_length_c 4.815
_cell_angle_alpha 60.00
_cell_angle_beta 60.00
_cell_angle_gamma 60.00
loop_
_space_group_symop_operation_xyz
'x,y,z'
loop_
_atom_site_label
_atom_site_type_symbol
_atom_site_fract_x
_atom_site_fract_y
_atom_site_fract_z
_atom_site_occupancy
W1 W 0.750 0.750 0.750 1
Tl1 Tl 0.000 0.000 0.000 1
Gd1 Gd 0.250 0.250 0.250 1
# Magnetization = 0.4673 μB per atom
# Final energy = -5.5681 eV per atom

---

Look up the final energy of the second one.
-3.4776 eV per atom